Arrangement one

Compound: CoAuBrO
Source: Alexandria
Functional: PBE with a Hubbard U
Structure: relaxed

a b c (Å): 8.637 3.430 6.681
angles (deg): 90.00 124.61 90.00
Space group Cm (No. 8)
Asymmetric unit:
1 Co 0.000 0.000 0.000 [2 per cell]
2 Au 0.096 0.000 0.683 [2 per cell]
3 Br 0.257 0.500 0.370 [2 per cell]
4 O 0.376 0.000 0.949 [2 per cell]

---

Arrangement two

Compound: CoAuBrO
Source: Alexandria
Functional: PBE with a Hubbard U
Structure: relaxed

a b c (Å): 5.976 3.457 7.310
angles (deg): 90.00 106.30 90.00
Space group Cm (No. 8)
Asymmetric unit:
1 Co 0.000 0.000 0.000 [2 per cell]
2 Au 0.040 0.500 0.621 [2 per cell]
3 Br 0.425 0.000 0.271 [2 per cell]
4 O 0.138 0.500 0.917 [2 per cell]

---

Decreasing stability: arrangement two, arrangement one

---

Arrangement one

Compound: CoAuBrO
Source: Alexandria
Functional: PBE with a Hubbard U
Structure: relaxed

## Properties
**Fermi-level density of states**: 1.968 states/eV/cell

a b c (Å): 2.955 2.963 9.565
angles (deg): 91.48 97.26 111.50
Space group P1 (No. 1)
Asymmetric unit:
1 Co 0.000 0.000 0.000 [1 per cell]
2 Au 0.437 0.752 0.239 [1 per cell]
3 Br 0.617 0.805 0.546 [1 per cell]
4 O 0.604 0.348 0.937 [1 per cell]

---

Arrangement two

Compound: CoAuBrO
Source: Alexandria
Functional: PBE with a Hubbard U
Structure: relaxed

a b c (Å): 3.469 3.879 7.220
angles (deg): 105.17 98.41 90.12
Space group P1 (No. 1)
Asymmetric unit:
1 Co 0.000 0.000 0.000 [1 per cell]
2 Au 0.907 0.379 0.752 [1 per cell]
3 Br 0.807 0.759 0.506 [1 per cell]
4 O 0.512 0.024 0.049 [1 per cell]

---

Decreasing stability: arrangement one, arrangement two